1.
# Ba4H6S GGA-PBE relaxed
data_Ba4H6S
_chemical_formula_sum 'Ba4 H6 S1'
_cell_length_a 4.042
_cell_length_b 8.152
_cell_length_c 8.152
_cell_angle_alpha 120.00
_cell_angle_beta 90.00
_cell_angle_gamma 90.00
_space_group_name_H-M_alt 'P 1'
_space_group_IT_number 1
_space_group_name_Hall 'P 1'
loop_
_atom_site_label
_atom_site_type_symbol
_atom_site_fract_x
_atom_site_fract_y
_atom_site_fract_z
Ba1 Ba 0.500 0.831 0.662
Ba2 Ba 0.500 0.338 0.169
Ba3 Ba 0.500 0.831 0.169
Ba4 Ba 0.000 0.333 0.667
H1 H 0.000 0.540 0.081
H2 H 0.500 0.592 0.796
H3 H 0.000 0.540 0.460
H4 H 0.000 0.919 0.460
H5 H 0.500 0.204 0.796
H6 H 0.500 0.204 0.408
S1 S 0.000 0.000 0.000
# Electronic total energy: -3.645 eV/atom
# ρ: 4.194 Mg/m³

---

2.
# BaH2S2 GGA-PBE relaxed
data_BaH2S2
_chemical_formula_sum 'Ba1 H2 S2'
_cell_length_a 3.706
_cell_length_b 4.817
_cell_length_c 6.816
_cell_angle_alpha 96.72
_cell_angle_beta 90.00
_cell_angle_gamma 90.00
_space_group_name_H-M_alt 'P 1'
_space_group_IT_number 1
_space_group_name_Hall 'P 1'
loop_
_atom_site_label
_atom_site_type_symbol
_atom_site_fract_x
_atom_site_fract_y
_atom_site_fract_z
Ba1 Ba 0.200 0.161 0.104
H1 H 0.200 0.875 0.542
H2 H 0.700 0.148 0.606
S1 S 0.200 0.151 0.608
S2 S 0.700 0.665 0.140
# Electronic total energy: -3.961 eV/atom
# ρ: 2.796 Mg/m³